(1)
# ZrMn4W PBEsol optimized geometry
data_ZrMn4W
_chemical_formula_sum 'Zr4 Mn16 W4'
_cell_length_a 6.751
_cell_length_b 6.751
_cell_length_c 6.751
_cell_angle_alpha 90.00
_cell_angle_beta 90.00
_cell_angle_gamma 90.00
_space_group_name_H-M_alt 'F -4 3 m'
_space_group_IT_number 216
_space_group_name_Hall 'F -4 2 3'
loop_
_atom_site_label
_atom_site_type_symbol
_atom_site_fract_x
_atom_site_fract_y
_atom_site_fract_z
_atom_site_occupancy
Zr1 Zr 0.000 0.000 0.000 1
Mn1 Mn 0.125 0.125 0.625 1
W1 W 0.250 0.250 0.250 1
# - Total DFT energy (no corrections): -249.2 eV/cell
# - Theoretical density: 10.680 g/cm³
# - Total magnetic moment: 2.70 μB/cell



(2)
# ZrMn2W PBEsol optimized geometry
data_ZrMn2W
_chemical_formula_sum 'Zr1 Mn2 W1'
_cell_length_a 2.722
_cell_length_b 2.722
_cell_length_c 7.694
_cell_angle_alpha 90.00
_cell_angle_beta 90.00
_cell_angle_gamma 90.00
_space_group_name_H-M_alt 'P 4 m m'
_space_group_IT_number 99
loop_
_space_group_symop_operation_xyz
'x,y,z'
'-y,x,z'
'-x,-y,z'
'y,-x,z'
'-x,y,z'
'y,x,z'
'x,-y,z'
'-y,-x,z'
loop_
_atom_site_label
_atom_site_type_symbol
_atom_site_fract_x
_atom_site_fract_y
_atom_site_fract_z
_atom_site_occupancy
Zr1 Zr 0.000 0.000 0.000 1
Mn1 Mn 0.000 0.000 0.430 1
Mn2 Mn 0.500 0.500 0.273 1
W1 W 0.500 0.500 0.682 1
# - Total DFT energy (no corrections): -41.7 eV/cell
# - Theoretical density: 11.214 g/cm³
# - Total magnetic moment: 0.00 μB/cell



(3)
# YMn12 PBEsol optimized geometry
data_YMn12
_chemical_formula_sum 'Y2 Mn24'
_cell_length_a 8.166
_cell_length_b 8.166
_cell_length_c 4.505
_cell_angle_alpha 90.00
_cell_angle_beta 90.00
_cell_angle_gamma 90.00
_space_group_name_H-M_alt 'I 4/m m m'
_space_group_IT_number 139
_space_group_name_Hall '-I 4 2'
loop_
_atom_site_label
_atom_site_type_symbol
_atom_site_fract_x
_atom_site_fract_y
_atom_site_fract_z
_atom_site_occupancy
Y1 Y 0.000 0.000 0.000 1
Mn1 Mn 0.000 0.226 0.500 1
Mn2 Mn 0.000 0.365 0.000 1
Mn3 Mn 0.250 0.250 0.250 1
# - Total DFT energy (no corrections): -247.4 eV/cell
# - Theoretical density: 8.272 g/cm³
# - Total magnetic moment: 0.02 μB/cell



(4)
# YMn3 PBEsol optimized geometry
data_YMn3
_chemical_formula_sum 'Y3 Mn9'
_cell_length_a 2.9468
_cell_length_b 2.9468
_cell_length_c 25.0826
_cell_angle_alpha 90.00
_cell_angle_beta 90.00
_cell_angle_gamma 120.00
_space_group_name_H-M_alt 'R -3 m'
_space_group_IT_number 166
_space_group_name_Hall '-R 3 2"'
loop_
_atom_site_label
_atom_site_type_symbol
_atom_site_fract_x
_atom_site_fract_y
_atom_site_fract_z
_atom_site_occupancy
Y1 Y 0.0000 0.0000 0.0000 1
Mn1 Mn 0.0000 0.0000 0.2342 1
Mn2 Mn 0.0000 0.0000 0.5000 1
# - Total DFT energy (no corrections): -100.0 eV/cell
# - Theoretical density: 6.701 g/cm³
# - Total magnetic moment: 8.62 μB/cell



(5)
# YMn PBEsol optimized geometry
data_YMn
_chemical_formula_sum 'Y1 Mn1'
_cell_length_a 3.3426
_cell_length_b 3.3426
_cell_length_c 4.4783
_cell_angle_alpha 90.00
_cell_angle_beta 90.00
_cell_angle_gamma 120.00
_space_group_name_H-M_alt 'P -6 m 2'
_space_group_IT_number 187
_space_group_name_Hall 'P -6 2'
loop_
_atom_site_label
_atom_site_type_symbol
_atom_site_fract_x
_atom_site_fract_y
_atom_site_fract_z
_atom_site_occupancy
Y1 Y 0.0000 0.0000 0.0000 1
Mn1 Mn 0.3333 0.6667 0.5000 1
# - Total DFT energy (no corrections): -15.4 eV/cell
# - Theoretical density: 5.512 g/cm³
# - Total magnetic moment: 2.98 μB/cell



(6)
# YMn PBEsol optimized geometry
data_YMn
_chemical_formula_sum 'Y6 Mn6'
_cell_length_a 11.470
_cell_length_b 3.328
_cell_length_c 6.912
_cell_angle_alpha 90.00
_cell_angle_beta 111.16
_cell_angle_gamma 90.00
_space_group_name_H-M_alt 'C 1 m 1'
_space_group_IT_number 8
loop_
_space_group_symop_operation_xyz
'x,y,z'
'x,-y,z'
'x+1/2,y+1/2,z'
'x+1/2,-y+1/2,z'
loop_
_atom_site_label
_atom_site_type_symbol
_atom_site_fract_x
_atom_site_fract_y
_atom_site_fract_z
_atom_site_occupancy
Y1 Y 0.000 0.000 0.000 1
Y2 Y 0.009 0.000 0.539 1
Y3 Y 0.222 0.500 0.403 1
Mn1 Mn 0.219 0.500 0.919 1
Mn2 Mn 0.276 0.000 0.769 1
Mn3 Mn 0.338 0.000 0.162 1
# - Total DFT energy (no corrections): -96.0 eV/cell
# - Theoretical density: 5.825 g/cm³
# - Total magnetic moment: 4.53 μB/cell



(7)
# Y3Mn2 PBEsol optimized geometry
data_Y3Mn2
_chemical_formula_sum 'Y3 Mn2'
_cell_length_a 4.7756
_cell_length_b 4.7756
_cell_length_c 5.9165
_cell_angle_alpha 90.00
_cell_angle_beta 90.00
_cell_angle_gamma 120.00
_space_group_name_H-M_alt 'P -3 m 1'
_space_group_IT_number 164
_space_group_name_Hall '-P 3 2"'
loop_
_atom_site_label
_atom_site_type_symbol
_atom_site_fract_x
_atom_site_fract_y
_atom_site_fract_z
_atom_site_occupancy
Y1 Y 0.0000 0.0000 0.0000 1
Y2 Y 0.3333 0.6667 0.3447 1
Mn1 Mn 0.3333 0.6667 0.8774 1
# - Total DFT energy (no corrections): -38.2 eV/cell
# - Theoretical density: 5.351 g/cm³
# - Total magnetic moment: 4.76 μB/cell



(8)
# YMn3 PBEsol optimized geometry
data_YMn3
_chemical_formula_sum 'Y1 Mn3'
_cell_length_a 2.917
_cell_length_b 2.917
_cell_length_c 6.923
_cell_angle_alpha 90.00
_cell_angle_beta 90.00
_cell_angle_gamma 90.00
_space_group_name_H-M_alt 'P 4/m m m'
_space_group_IT_number 123
_space_group_name_Hall '-P 4 2'
loop_
_atom_site_label
_atom_site_type_symbol
_atom_site_fract_x
_atom_site_fract_y
_atom_site_fract_z
_atom_site_occupancy
Y1 Y 0.000 0.000 0.000 1
Mn1 Mn 0.000 0.000 0.500 1
Mn2 Mn 0.500 0.500 0.313 1
# - Total DFT energy (no corrections): -34.7 eV/cell
# - Theoretical density: 7.153 g/cm³
# - Total magnetic moment: 1.89 μB/cell